(1)
A plane-wave DFT calculation with PBE was carried out for a relaxed BeV2Mo crystal.

The structure in extended XYZ format:
```
4
Lattice="4.025 0.000 0.000 0.000 4.025 0.000 0.000 0.000 3.209" Properties=species:S:1:pos:R:3 pbc="T T T"
Be 0.000 0.000 0.000
V 0.000 2.012 1.604
V 2.012 0.000 1.604
Mo 2.012 2.012 0.000
```

Output
- E (eV per formula unit) = -32.91
- ρ (kg/m³) = 6608
- total moment (μB/f.u.) = 0.00
- space-group type = P4/mmm (123)

---

(2)
A plane-wave DFT calculation with PBE was carried out for a relaxed PmAl2Se4 crystal.

The structure in extended XYZ format:
```
7
Lattice="-3.871 3.871 3.133 3.871 -3.871 3.133 3.871 3.871 -3.133" Properties=species:S:1:pos:R:3 pbc="T T T"
Pm 0.000 0.000 0.000
Al 3.871 0.000 1.566
Al 0.000 3.871 1.566
Se 2.664 1.410 0.000
Se 2.461 -1.207 3.133
Se 1.410 5.078 0.000
Se 1.207 2.461 3.133
```

Output
- E_form (uncorrected) (meV/atom) = -926
- ρ (kg/m³) = 4553
- total moment (μB/f.u.) = 1.03
- space-group type = I4/m (87)

---

Question: What is the total moment in the first record?
Answer: 0.00 μB/f.u.